This record from Alexandria via LeMat-Bulk describes Sr11Tl9Au4 after structural relaxation. The functional is GGA-PBE. Values from VASP.

```
&SYSTEM
  ibrav = 0, nat = 24, ntyp = 3
/
ATOMIC_SPECIES
Sr 87.62 Sr.upf
Tl 204.38 Tl.upf
Au 196.97 Au.upf
ATOMIC_POSITIONS angstrom
Sr 0.000 7.744 10.003
Sr 0.000 3.862 2.550
Sr 0.000 1.005 5.554
Sr 0.000 12.241 3.190
Sr 0.000 2.202 11.069
Sr 0.000 8.408 1.668
Sr 0.000 11.044 -2.325
Sr 0.000 0.000 0.000
Sr 0.000 5.502 -1.259
Sr 0.000 9.384 6.194
Sr 0.000 4.838 7.076
Tl 2.031 6.623 4.372
Tl 2.031 8.376 -1.362
Tl 2.031 4.870 10.106
Tl 2.031 10.431 9.079
Tl 2.031 0.798 2.720
Tl 2.031 12.448 6.024
Tl 2.031 2.815 -0.335
Tl 2.031 2.040 8.238
Tl 2.031 11.206 0.507
Au 2.031 3.408 5.018
Au 2.031 7.293 7.583
Au 2.031 5.953 1.162
Au 2.031 9.838 3.726
CELL_PARAMETERS angstrom
4.061 0.000 0.000
0.000 13.225 -5.628
0.000 0.022 14.373
```

Values from the calculation:
The total energy comes out at -2.714 eV per atom. The value obtained for the formation energy is -510 meV/atom.